Entry from Alexandria via LeMat-Bulk: a relaxed Rb2HoMoO6 crystal (GGA+U).

Lattice parameters (Å, degrees): 6.5488 6.5488 5.8349 90.00 90.00 120.00
Last column: nearest neighbours and their distance in Å.
Space group P-3m1 (No. 164)
Asymmetric unit:
Rb1 0.3333 0.6667 0.1098 x2  3 O 2.92
Ho1 0.0000 0.0000 0.5000 x1  6 O 2.28
Mo1 0.0000 0.0000 0.0000 x1  6 O 1.95
O1 0.1343 0.2687 0.7910 x6  1 Mo 1.95

D(E_F) ... 1.67 states/eV/cell
DFT total energy ... -62.24 eV per cell
Density ... 4.04 g/cm3